Record 1
SrNi2Ir | PBE | relaxed Values from VASP.

```
&SYSTEM
  ibrav = 0, nat = 4, ntyp = 3
/
ATOMIC_SPECIES
Ir 192.22 Ir.upf
Ni 58.69 Ni.upf
Sr 87.62 Sr.upf
CELL_PARAMETERS angstrom
4.714 -0.113 -0.004
-0.482 4.690 -0.004
0.006 0.006 2.855
ATOMIC_POSITIONS crystal
Ir 0.000 0.500 0.500
Ni 0.000 0.000 0.000
Ni 0.500 0.500 0.000
Sr 0.500 0.000 0.500
```

Summary:
- volume (Å³/f.u.) = 63
- density of states at the Fermi level (states/eV/cell) = 4.24
- DFT formation energy (meV/atom) = 364
- total energy (eV/atom) = -5.162

---

Record 2
Sr4NiIr | PBE | relaxed Values from VASP.

```
&SYSTEM
  ibrav = 0, nat = 6, ntyp = 3
/
ATOMIC_SPECIES
Sr 87.62 Sr.upf
Ni 58.69 Ni.upf
Ir 192.22 Ir.upf
CELL_PARAMETERS angstrom
0.000 4.526 4.526
4.526 0.000 4.526
4.526 4.526 0.000
ATOMIC_POSITIONS crystal
Sr 0.873 0.376 0.376
Sr 0.376 0.376 0.873
Sr 0.376 0.873 0.376
Sr 0.376 0.376 0.376
Ni 0.000 0.000 0.000
Ir 0.750 0.750 0.750
```

Summary:
- volume (Å³/f.u.) = 185
- density of states at the Fermi level (states/eV/cell) = 5.06
- DFT formation energy (meV/atom) = 1157
- total energy (eV/atom) = -2.405

---

Record 3
SrNi2Ir | PBE | relaxed Values from VASP.

```
&SYSTEM
  ibrav = 0, nat = 8, ntyp = 3
/
ATOMIC_SPECIES
Sr 87.62 Sr.upf
Ir 192.22 Ir.upf
Ni 58.69 Ni.upf
CELL_PARAMETERS angstrom
4.676 0.000 0.000
0.000 4.676 0.000
2.338 2.338 8.146
ATOMIC_POSITIONS crystal
Sr 0.500 0.500 0.000
Sr 0.250 0.750 0.500
Ir 0.000 0.000 0.000
Ir 0.750 0.250 0.500
Ni 0.851 0.125 0.250
Ni 0.899 0.625 0.250
Ni 0.375 0.149 0.750
Ni 0.875 0.101 0.750
```

Summary:
- volume (Å³/f.u.) = 89
- density of states at the Fermi level (states/eV/cell) = 11.32
- DFT formation energy (meV/atom) = 233
- total energy (eV/atom) = -5.293